Density functional theory data (PBE) for a relaxed La4SbSI2 crystal.

Cell: 7.7193 4.4010 8.1854 Å, 90.00 108.33 90.00°
Last column: nearest neighbours and their distance in Å.
Space group P2/m (No. 10)
Symmetry-distinct sites (fractional):
La 0.2069 0.0000 0.1985 (multiplicity 2)  2 S 2.90, 1 Sb 3.17
La 0.2302 0.5000 0.7898 (multiplicity 2)  1 S 2.84, 2 Sb 3.14
Sb 0.5000 0.0000 0.0000 (multiplicity 1)  6 La 3.14-3.17
S 0.0000 0.5000 0.0000 (multiplicity 1)  6 La 2.84-2.90
I 0.0000 0.0000 0.5000 (multiplicity 1)  6 La 3.31-3.33
I 0.5000 0.5000 0.5000 (multiplicity 1)  6 La 3.54-3.62

Calculated values
Its raw total energy is -5.2769 eV/atom. For the total magnetic moment, the calculation gives 0.000 μB/f.u. As for the crystal system: monoclinic. Its formation energy without anion corrections is -1.3944 eV per atom. The value obtained for the calculated volume is 33.0 Å³/atom.


Density functional theory data (PBE) for a relaxed LaSbSI2 crystal.

Cell: 6.1155 6.1155 6.6730 Å, 90.00 90.00 90.00°
Last column: nearest neighbours and their distance in Å.
Space group P4/mmm (No. 123)
Symmetry-distinct sites (fractional):
La 0.0000 0.0000 0.0000 (multiplicity 1)  4 I 3.06, 2 Sb 3.34
Sb 0.0000 0.0000 0.5000 (multiplicity 1)  2 La 3.34
S 0.5000 0.5000 0.5000 (multiplicity 1)  4 Sb 4.32, 8 I 4.53
I 0.0000 0.5000 0.0000 (multiplicity 2)  2 La 3.06

Calculated values
The value obtained for the excess energy over the best structure of this formula in the dataset is 207 meV per atom. Its raw total energy is -3.2434 eV/atom. For the total magnetic moment, the calculation gives 2.194 μB/f.u. As for the crystal system: tetragonal. Its formation energy without anion corrections is 0.0121 eV per atom. The value obtained for the calculated volume is 49.9 Å³/atom.


Density functional theory data (PBE) for a relaxed LaSb2SI crystal.

Cell: 6.2525 6.2525 5.9957 Å, 90.00 90.00 90.00°
Last column: nearest neighbours and their distance in Å.
Space group P4/mmm (No. 123)
Symmetry-distinct sites (fractional):
La 0.0000 0.0000 0.0000 (multiplicity 1)  2 I 3.00, 4 Sb 3.13
Sb 0.0000 0.5000 0.0000 (multiplicity 2)  2 La 3.13
S 0.5000 0.5000 0.5000 (multiplicity 1)  8 Sb 4.33, 4 I 4.42
I 0.0000 0.0000 0.5000 (multiplicity 1)  2 La 3.00

Calculated values
The value obtained for the excess energy over the best structure of this formula in the dataset is 743 meV per atom. Its raw total energy is -3.2242 eV/atom. For the total magnetic moment, the calculation gives 0.986 μB/f.u. As for the crystal system: tetragonal. Its formation energy without anion corrections is 0.5458 eV per atom. The value obtained for the calculated volume is 46.9 Å³/atom.


Density functional theory data (PBE) for a relaxed La8Se3SI4 crystal.

Cell: 8.5505 8.5505 23.6231 Å, 90.00 90.00 120.00°
Last column: nearest neighbours and their distance in Å.
Space group R-3m (No. 166, hexagonal axes)
Symmetry-distinct sites (fractional):
La 0.0000 0.0000 0.2364 (multiplicity 6)  3 Se 2.97
La 0.0126 0.5063 0.2342 (multiplicity 18)  1 S 2.86, 2 Se 2.98
Se 0.0000 0.5000 0.5000 (multiplicity 9)  6 La 2.97-2.98
S 0.0000 0.0000 0.5000 (multiplicity 3)  6 La 2.86
I 0.0000 0.0000 0.0000 (multiplicity 3)  6 La 3.47
I 0.0000 0.5000 0.0000 (multiplicity 9)  6 La 3.37

Calculated values
Its raw total energy is -5.2912 eV/atom. For the total magnetic moment, the calculation gives 0.000 μB/f.u. As for the crystal system: trigonal. Its formation energy without anion corrections is -1.5286 eV per atom. The value obtained for the calculated volume is 31.2 Å³/atom.


Density functional theory data (PBE) for a relaxed La6Se2SI3 crystal.

Cell: 7.4358 12.8550 8.1790 Å, 90.00 107.55 90.00°
Last column: nearest neighbours and their distance in Å.
Space group C2/m (No. 12)
Symmetry-distinct sites (fractional):
La 0.2258 0.1598 0.2009 (multiplicity 8)  1 S 2.84, 2 Se 2.98-2.99
La 0.2490 0.0000 0.7941 (multiplicity 4)  1 S 2.85, 2 Se 2.99
Se 0.0000 0.3348 0.0000 (multiplicity 4)  6 La 2.98-2.99
S 0.0000 0.0000 0.0000 (multiplicity 2)  6 La 2.84-2.85
I 0.0000 0.1730 0.5000 (multiplicity 4)  6 La 3.36-3.43
I 0.0000 0.5000 0.5000 (multiplicity 2)  6 La 3.37-3.46

Calculated values
Its raw total energy is -5.3098 eV/atom. For the total magnetic moment, the calculation gives 0.000 μB/f.u. As for the crystal system: monoclinic. Its formation energy without anion corrections is -1.5339 eV per atom. The value obtained for the calculated volume is 31.1 Å³/atom.


Density functional theory data (PBE) for a relaxed La4SeSI2 crystal.

Cell: 7.3735 4.2548 8.2461 Å, 90.00 107.37 90.00°
Last column: nearest neighbours and their distance in Å.
Space group P2/m (No. 10)
Symmetry-distinct sites (fractional):
La 0.2197 0.0000 0.1967 (multiplicity 2)  2 S 2.87, 1 Se 2.98
La 0.2524 0.5000 0.7976 (multiplicity 2)  1 S 2.85, 2 Se 2.97
Se 0.5000 0.0000 0.0000 (multiplicity 1)  6 La 2.97-2.98
S 0.0000 0.5000 0.0000 (multiplicity 1)  6 La 2.85-2.87
I 0.0000 0.0000 0.5000 (multiplicity 1)  6 La 3.36
I 0.5000 0.5000 0.5000 (multiplicity 1)  6 La 3.46-3.47

Calculated values
Its raw total energy is -5.3536 eV/atom. For the total magnetic moment, the calculation gives 0.000 μB/f.u. As for the crystal system: monoclinic. Its formation energy without anion corrections is -1.5508 eV per atom. The value obtained for the calculated volume is 30.9 Å³/atom.